(1)
A plane-wave DFT calculation with GGA-PBE was carried out for a relaxed structure of CoReGeIr.

Cell: 4.2727 4.2727 4.2727 Å, 60.00 60.00 60.00°
Closest atoms and distances in Å follow each position.
Positions (direct):
Ge  0.0000  0.0000  0.0000  4 Re 2.62, 4 Co 2.62
Ir  0.5000  0.5000  0.5000  4 Co 2.62, 4 Re 2.62
Co  0.7500  0.7500  0.7500  4 Ir 2.62, 4 Ge 2.62
Re  0.2500  0.2500  0.2500  4 Ge 2.62, 4 Ir 2.62

Summary:
V, A^3/atom: 13.8
E, eV per atom: -8.033
E above lowest polymorph, eV per formula unit: 0.00
SG: F-43m

(2)
A plane-wave DFT calculation with GGA-PBE was carried out for a relaxed structure of ScCoGeIr.

Cell: 4.4289 4.4289 4.4289 Å, 60.00 60.00 60.00°
Closest atoms and distances in Å follow each position.
Positions (direct):
Ir  0.5000  0.5000  0.5000  4 Co 2.71, 4 Sc 2.71
Sc  0.2500  0.2500  0.2500  4 Ge 2.71, 4 Ir 2.71
Co  0.7500  0.7500  0.7500  4 Ir 2.71, 4 Ge 2.71
Ge  0.0000  0.0000  0.0000  4 Co 2.71, 4 Sc 2.71

Summary:
V, A^3/atom: 15.4
E, eV per atom: -6.915
E above lowest polymorph, eV per formula unit: 1.44
SG: F-43m

(3)
A plane-wave DFT calculation with GGA-PBE was carried out for a relaxed structure of ScCoGeIr.

Cell: 4.3516 4.3516 4.3516 Å, 60.00 60.00 60.00°
Closest atoms and distances in Å follow each position.
Positions (direct):
Co  0.7500  0.7500  0.7500  4 Ge 2.66, 4 Sc 2.66
Ge  0.0000  0.0000  0.0000  4 Ir 2.66, 4 Co 2.66
Ir  0.2500  0.2500  0.2500  4 Sc 2.66, 4 Ge 2.66
Sc  0.5000  0.5000  0.5000  4 Ir 2.66, 4 Co 2.66

Summary:
V, A^3/atom: 14.6
E, eV per atom: -7.274
E above lowest polymorph, eV per formula unit: 0.00
SG: F-43m

(4)
A plane-wave DFT calculation with GGA-PBE was carried out for a relaxed structure of TaCoGeIr.

Cell: 4.3692 4.3692 4.3692 Å, 60.00 60.00 60.00°
Closest atoms and distances in Å follow each position.
Positions (direct):
Ta  0.5000  0.5000  0.5000  4 Co 2.68, 4 Ir 2.68
Ge  0.0000  0.0000  0.0000  4 Co 2.68, 4 Ir 2.68
Ir  0.2500  0.2500  0.2500  4 Ta 2.68, 4 Ge 2.68
Co  0.7500  0.7500  0.7500  4 Ta 2.68, 4 Ge 2.68

Summary:
V, A^3/atom: 14.7
E, eV per atom: -8.265
E above lowest polymorph, eV per formula unit: 0.00
SG: F-43m

(5)
A plane-wave DFT calculation with GGA-PBE was carried out for a relaxed structure of TaCoGeIr.

Cell: 4.3789 4.3789 4.3789 Å, 60.00 60.00 60.00°
Closest atoms and distances in Å follow each position.
Positions (direct):
Ir  0.5000  0.5000  0.5000  4 Co 2.68, 4 Ta 2.68
Ge  0.0000  0.0000  0.0000  4 Co 2.68, 4 Ta 2.68
Co  0.7500  0.7500  0.7500  4 Ge 2.68, 4 Ir 2.68
Ta  0.2500  0.2500  0.2500  4 Ge 2.68, 4 Ir 2.68

Summary:
V, A^3/atom: 14.8
E, eV per atom: -8.134
E above lowest polymorph, eV per formula unit: 0.52
SG: F-43m

(6)
A plane-wave DFT calculation with GGA-PBE was carried out for a relaxed structure of Ta2CoGe2Ir.

Cell: 7.2046 4.1433 13.7684 Å, 90.00 99.74 90.00°
Closest atoms and distances in Å follow each position.
Positions (direct):
Ta  0.6976  0.0000  0.0606  1 Co 2.48, 3 Ir 2.59-2.62
Ta  0.4405  0.0000  0.3215  1 Co 2.45, 3 Ir 2.58
Ta  0.1774  0.5000  0.0583  2 Co 2.50, 2 Ir 2.60-2.63
Ta  0.4244  0.5000  0.8056  2 Co 2.50, 2 Ir 2.59-2.60
Ta  0.9479  0.0000  0.8136  2 Co 2.48-2.50, 2 Ir 2.59
Ta  0.1874  0.0000  0.5633  4 Co 2.48-2.53
Ta  0.9415  0.5000  0.3222  1 Co 2.46, 3 Ir 2.57
Ta  0.6850  0.5000  0.5579  3 Co 2.51-2.52, 1 Ir 2.58
Ge  0.3141  0.5000  0.4462  3 Co 2.51, 1 Ir 2.63
Ge  0.3027  0.0000  0.9319  2 Co 2.49-2.52, 2 Ir 2.58, 1 Ta 2.79
Ge  0.5510  0.0000  0.6829  2 Co 2.45-2.49, 2 Ir 2.59
Ge  0.8167  0.0000  0.4466  3 Co 2.52-2.53, 1 Ir 2.62
Ge  0.8214  0.5000  0.9376  2 Co 2.51, 2 Ir 2.58-2.59
Ge  0.5621  0.5000  0.1865  4 Ir 2.56-2.58
Ge  0.0681  0.5000  0.6839  3 Co 2.45-2.51, 1 Ir 2.59
Ge  0.0619  0.0000  0.1814  1 Co 2.49, 3 Ir 2.58-2.59
Ir  0.7529  0.0000  0.2538  4 Ta 2.57-2.62, 4 Ge 2.57-2.62
Ir  0.7498  0.5000  0.7478  4 Ge 2.58-2.59, 4 Ta 2.58-2.60
Ir  0.4985  0.5000  0.9963  4 Ge 2.58-2.59, 4 Ta 2.59-2.60
Ir  0.2501  0.5000  0.2524  4 Ge 2.56-2.63, 4 Ta 2.57-2.63
Co  0.0017  0.5000  0.5035  4 Ge 2.45-2.52, 4 Ta 2.46-2.53
Co  0.4993  0.0000  0.5021  4 Ta 2.45-2.53, 4 Ge 2.45-2.53
Co  0.2469  0.0000  0.7464  4 Ta 2.48-2.50, 4 Ge 2.49-2.52
Co  0.0008  0.0000  0.9976  4 Ta 2.48-2.50, 4 Ge 2.49-2.51

Summary:
V, A^3/atom: 16.9
E, eV per atom: -8.674
SG: Pm

(7)
A plane-wave DFT calculation with GGA-PBE was carried out for a relaxed structure of CoGeIrW.

Cell: 4.3198 4.3198 4.3198 Å, 60.00 60.00 60.00°
Closest atoms and distances in Å follow each position.
Positions (direct):
Co  0.7500  0.7500  0.7500  4 Ge 2.65, 4 W 2.65
W  0.5000  0.5000  0.5000  4 Co 2.65, 4 Ir 2.65
Ir  0.2500  0.2500  0.2500  4 W 2.65, 4 Ge 2.65
Ge  0.0000  0.0000  0.0000  4 Co 2.65, 4 Ir 2.65

Summary:
V, A^3/atom: 14.3
E, eV per atom: -8.132
E above lowest polymorph, eV per formula unit: 0.35
SG: F-43m

(8)
A plane-wave DFT calculation with GGA-PBE was carried out for a relaxed structure of CoGeIrW.

Cell: 4.3119 4.3119 4.3119 Å, 60.00 60.00 60.00°
Closest atoms and distances in Å follow each position.
Positions (direct):
Co  0.7500  0.7500  0.7500  4 Ir 2.64, 4 Ge 2.64
Ge  0.0000  0.0000  0.0000  4 Co 2.64, 4 W 2.64
Ir  0.5000  0.5000  0.5000  4 W 2.64, 4 Co 2.64
W  0.2500  0.2500  0.2500  4 Ir 2.64, 4 Ge 2.64

Summary:
V, A^3/atom: 14.2
E, eV per atom: -8.220
E above lowest polymorph, eV per formula unit: 0.00
SG: F-43m

(9)
A plane-wave DFT calculation with GGA-PBE was carried out for a relaxed structure of KCo3Ge5.

Cell: 4.9086 4.9086 8.3462 Å, 90.00 90.00 120.00°
Closest atoms and distances in Å follow each position.
Positions (direct):
Ge  0.0000  0.0000  0.5000  6 Co 2.45
Ge  0.3333  0.6667  0.2628  3 Co 2.43
Ge  0.3333  0.6667  0.7372  3 Co 2.43
Ge  0.6667  0.3333  0.2628  3 Co 2.43
Ge  0.6667  0.3333  0.7372  3 Co 2.43
Co  0.0000  0.5000  0.5000  6 Ge 2.43-2.45, 4 Co 2.45
Co  0.5000  0.5000  0.5000  6 Ge 2.43-2.45, 4 Co 2.45
Co  0.5000  0.0000  0.5000  6 Ge 2.43-2.45, 4 Co 2.45
K  0.0000  0.0000  0.0000  12 Ge 3.58

Summary:
V, A^3/atom: 19.4
E, eV per atom: -5.175
SG: P6/mmm

Q: E of number 6 (Ta2CoGe2Ir)?
A: -8.674 eV per atom